No. 1
The following is a DFT calculation (PBE) of an optimized crystal structure of Y2NiB2.

Values from the calculation:
For the theoretical density, the calculation gives 5.520 g cm⁻³. As for the crystal system: orthorhombic. The energy is -6.76 eV per atom. As for the total magnetic moment: 0.007 μB/cell.

a b c (Å): 7.024 7.024 3.560
angles (deg): 90.00 90.00 153.76
Element x y z (fractional)
B: 0.771 0.229 0.000
B: 0.229 0.771 0.000
Ni: 0.000 0.000 0.000
Y: 0.627 0.373 0.500
Y: 0.373 0.627 0.500

No. 2
The following is a DFT calculation (PBE) of an optimized crystal structure of Tb2YNi2C2N3.

Values from the calculation:
For the theoretical density, the calculation gives 8.308 g cm⁻³. As for the crystal system: tetragonal. The energy is -7.89 eV per atom. As for the total magnetic moment: 0.055 μB/cell.

a b c (Å): 10.093 10.093 10.093
angles (deg): 160.20 160.20 28.15
Element x y z (fractional)
C: 0.191 0.191 0.000
C: 0.809 0.809 0.000
N: 0.119 0.119 0.000
N: 0.500 0.500 0.000
N: 0.881 0.881 0.000
Ni: 0.750 0.250 0.500
Ni: 0.250 0.750 0.500
Tb: 0.374 0.374 0.000
Tb: 0.626 0.626 0.000
Y: 0.000 0.000 0.000